# SiNiIO2 | Alexandria via LeMat-Bulk | PBE with a Hubbard U | optimized geometry
data_SiNiIO2
_cell_length_a 3.520
_cell_length_b 3.520
_cell_length_c 6.325
_cell_angle_alpha 90.00
_cell_angle_beta 90.00
_cell_angle_gamma 90.00
_space_group_name_H-M_alt 'P 4/m m m'
_space_group_IT_number 123
_space_group_name_Hall '-P 4 2'
loop_
_atom_site_label
_atom_site_type_symbol
_atom_site_fract_x
_atom_site_fract_y
_atom_site_fract_z
Si1 Si 0.000 0.000 0.000
Ni1 Ni 0.500 0.500 0.500
I1 I 0.000 0.000 0.500
O1 O 0.000 0.500 0.000
# * calculated volume: 15.68 Å³/atom
# * total energy: -23.12 eV/f.u.